1.
Below is a PBEsol-optimized structure of Si2BAu, with properties calculated at the SCAN level.

Cell and atoms, written as extended XYZ:
```
8
Lattice="-2.686 2.686 4.422 2.686 -2.686 4.422 2.686 2.686 -4.422" Properties=species:S:1:pos:R:3 pbc="T T T"
Si 1.343 0.950 -1.106
Si 1.736 -1.343 5.528
Si 1.343 1.736 3.317
Si 0.950 4.030 1.106
B 0.000 0.000 0.000
B 0.000 2.686 2.211
Au 2.686 0.000 2.211
Au 0.000 0.000 4.422
```

Properties
- Size of the total moment: 0.00 μB per cell
- Formation energy from raw total energies: 0.16 eV per atom

=====

2.
Below is a PBEsol-optimized structure of SrBAu2, with properties calculated at the SCAN level.

Cell and atoms, written as extended XYZ:
```
8
Lattice="-2.603 2.603 6.847 2.603 -2.603 6.847 2.603 2.603 -6.847" Properties=species:S:1:pos:R:3 pbc="T T T"
Sr 2.603 1.301 1.712
Sr 0.000 1.301 5.135
B 2.603 -1.301 5.135
B 0.000 3.904 1.712
Au 0.000 0.000 0.000
Au 1.301 1.301 -3.423
Au 1.301 -1.301 3.423
Au 0.000 2.603 0.000
```

Properties
- Size of the total moment: 0.00 μB per cell
- E_form: -0.320 eV/atom

=====

3.
Below is a PBEsol-optimized structure of Zr2TcBAu, with properties calculated at the SCAN level.

Cell and atoms, written as extended XYZ:
```
5
Lattice="4.818 0.000 0.000 0.000 4.818 0.000 0.000 0.000 4.920" Properties=species:S:1:pos:R:3 pbc="T T T"
Zr 0.000 2.409 0.000
Zr 2.409 0.000 0.000
Tc 0.000 0.000 0.000
B 2.409 2.409 2.460
Au 0.000 0.000 2.460
```

Properties
- Size of the total moment: 0.54 μB per cell
- E_form: 1.306 eV/atom

=====

4.
Below is a PBEsol-optimized structure of BTeAu2, with properties calculated at the SCAN level.

Cell and atoms, written as extended XYZ:
```
4
Lattice="0.000 3.297 3.297 3.297 0.000 3.297 3.297 3.297 0.000" Properties=species:S:1:pos:R:3 pbc="T T T"
B 0.000 0.000 0.000
Te 3.297 3.297 3.297
Au 1.648 1.648 1.648
Au 4.945 4.945 4.945
```

Properties
- Size of the total moment: 0.00 μB per cell
- Formation energy from raw total energies: 1.04 eV per atom

=====

5.
Below is a PBEsol-optimized structure of BWAu3, with properties calculated at the SCAN level.

Cell and atoms, written as extended XYZ:
```
5
Lattice="4.265 0.000 0.000 0.000 4.265 0.000 0.000 0.000 4.265" Properties=species:S:1:pos:R:3 pbc="T T T"
B 0.000 0.000 0.000
W 2.132 2.132 2.132
Au 0.000 0.000 2.132
Au 0.000 2.132 0.000
Au 2.132 0.000 0.000
```

Properties
- Size of the total moment: 0.00 μB per cell
- E_form: 0.982 eV/atom

=====

6.
Below is a PBEsol-optimized structure of Zn2BAu, with properties calculated at the SCAN level.

Cell and atoms, written as extended XYZ:
```
4
Lattice="0.000 3.007 3.007 3.007 0.000 3.007 3.007 3.007 0.000" Properties=species:S:1:pos:R:3 pbc="T T T"
Zn 1.503 1.503 1.503
Zn 4.510 4.510 4.510
B 0.000 0.000 0.000
Au 3.007 3.007 3.007
```

Properties
- Size of the total moment: 0.00 μB per cell
- E_form: 0.652 eV/atom